Record 1
The following is a SCAN calculation of a PBEsol-optimized structure of SbPd2Au2, from Alexandria.

Lattice parameters (Å, degrees): 3.765 3.765 13.158 90.00 90.00 90.00
Atoms (fractional coordinates):
Sb 0.000 0.000 0.000
Sb 0.500 0.500 0.500
Pd 0.000 0.500 0.250
Pd 0.000 0.500 0.750
Pd 0.500 0.000 0.250
Pd 0.500 0.000 0.750
Au 0.000 0.000 0.397
Au 0.000 0.000 0.603
Au 0.500 0.500 0.103
Au 0.500 0.500 0.897

The value obtained for the total magnetization is 0.0 μB per formula unit. Its uncorrected formation energy is 0.111 eV/atom. Its final energy is -481.139 eV/cell. Its space group is I4/mmm (139). For the density, the calculation gives 12.97 Mg/m³.

---

Record 2
The following is a SCAN calculation of a PBEsol-optimized structure of CrGe3Bi, from Alexandria.

Lattice parameters (Å, degrees): 5.336 5.336 5.336 90.00 90.00 90.00
Atoms (fractional coordinates):
Cr 0.000 0.000 0.000
Ge 0.000 0.500 0.500
Ge 0.500 0.000 0.500
Ge 0.500 0.500 0.000
Bi 0.500 0.500 0.500

The value obtained for the total magnetization is 4.6 μB per formula unit. Its final energy is -147.163 eV/cell. For the formation energy, the calculation gives 1.41 eV per atom. Its space group is Pm-3m (221). For the density, the calculation gives 5.23 Mg/m³.

---

Record 3
The following is a SCAN calculation of a PBEsol-optimized structure of HgH2Au, from Alexandria.

Lattice parameters (Å, degrees): 5.721 5.721 5.721 90.00 90.00 90.00
Atoms (fractional coordinates):
Hg 0.000 0.000 0.000
Hg 0.000 0.500 0.500
Hg 0.500 0.000 0.500
Hg 0.500 0.500 0.000
H 0.250 0.250 0.250
H 0.250 0.250 0.750
H 0.250 0.750 0.250
H 0.250 0.750 0.750
H 0.750 0.250 0.250
H 0.750 0.250 0.750
H 0.750 0.750 0.250
H 0.750 0.750 0.750
Au 0.000 0.000 0.500
Au 0.000 0.500 0.000
Au 0.500 0.000 0.000
Au 0.500 0.500 0.500

The value obtained for the total magnetization is 0.0 μB per formula unit. Its final energy is -561.608 eV/cell. Its space group is Fm-3m (225). For the density, the calculation gives 14.17 Mg/m³.